# 1
First-principles (PBEsol) data for Mg2CdSb after structural relaxation, as listed in Alexandria.

Cell: 3.972 3.972 5.862 Å, 90.00 90.00 90.00°
Positions (direct):
Mg  0.000  0.000  0.000
Mg  0.500  0.500  0.294
Cd  0.500  0.500  0.794
Sb  0.000  0.000  0.500

Output
Its uncorrected formation energy is -0.37 eV per formula unit. Its symmetry is No. 99. For the energy above the most stable polymorph in this dataset, the calculation gives 59.0 meV/atom.

# 2
First-principles (PBEsol) data for MgCdSb2 after structural relaxation, as listed in Alexandria.

Cell: 10.709 10.709 10.709 Å, 17.67 17.67 17.67°
Positions (direct):
Mg  0.000  0.000  0.000
Cd  0.500  0.500  0.500
Sb  0.258  0.258  0.258
Sb  0.742  0.742  0.742

Output
Its uncorrected formation energy is 0.11 eV per formula unit. Its symmetry is No. 166. For the energy above the most stable polymorph in this dataset, the calculation gives 110.5 meV/atom.